No. 1
Entry from Alexandria: a PBEsol-optimized structure of RePRh2 (SCAN).

Cell: 5.1646 7.6475 2.7225 Å, 90.00 90.00 90.00°
Space group Cmmm (No. 65)
Inequivalent atoms, fractional coordinates:
Re  0.0000  0.0000  0.0000 (multiplicity 2)
P  0.0000  0.5000  0.0000 (multiplicity 2)
Rh  0.2500  0.2500  0.5000 (multiplicity 4)

Output
* D(E_F): 6.15 states/eV/cell
* formation energy from the elements: 0.09 eV per atom
* volume: 13.44 Å³ per atom

***

No. 2
Entry from Alexandria: a PBEsol-optimized structure of RePRh2 (SCAN).

Cell: 2.7516 2.7516 24.3280 Å, 90.00 90.00 120.00°
Space group R-3m (No. 166, hexagonal axes)
Inequivalent atoms, fractional coordinates:
Re  0.0000  0.0000  0.0000 (multiplicity 3)
P  0.0000  0.0000  0.5000 (multiplicity 3)
Rh  0.0000  0.0000  0.2415 (multiplicity 6)

Output
* D(E_F): 8.45 states/eV/cell
* formation energy from the elements: -0.19 eV per atom
* volume: 13.29 Å³ per atom

***

No. 3
Entry from Alexandria: a PBEsol-optimized structure of RePRh2 (SCAN).

Cell: 2.8379 2.8379 6.5774 Å, 90.00 90.00 90.00°
Space group P4mm (No. 99)
Inequivalent atoms, fractional coordinates:
Re  0.0000  0.0000  0.0000 (multiplicity 1)
P  0.5000  0.5000  0.7775 (multiplicity 1)
Rh  0.0000  0.0000  0.5737 (multiplicity 1)
Rh  0.5000  0.5000  0.2639 (multiplicity 1)

Output
* D(E_F): 3.15 states/eV/cell
* formation energy from the elements: -0.17 eV per atom
* volume: 13.24 Å³ per atom

***

No. 4
Entry from Alexandria: a PBEsol-optimized structure of ReP2Rh (SCAN).

Cell: 2.9623 4.9492 7.5091 Å, 90.00 90.00 90.00°
Space group Cmmm (No. 65)
Inequivalent atoms, fractional coordinates:
Re  0.0000  0.0000  0.0000 (multiplicity 2)
P  0.0000  0.5000  0.2520 (multiplicity 4)
Rh  0.0000  0.0000  0.5000 (multiplicity 2)

Output
* D(E_F): 5.14 states/eV/cell
* formation energy from the elements: 0.27 eV per atom
* energy relative to the lowest polymorph listed for this composition: 0.0000 eV/atom
* volume: 13.76 Å³ per atom

***

No. 5
Entry from Alexandria: a PBEsol-optimized structure of ReSnPRh2 (SCAN).

Cell: 4.3308 4.3308 4.4171 Å, 90.00 90.00 90.00°
Space group P4/mmm (No. 123)
Inequivalent atoms, fractional coordinates:
Re  0.0000  0.0000  0.0000 (multiplicity 1)
Sn  0.5000  0.5000  0.0000 (multiplicity 1)
P  0.0000  0.0000  0.5000 (multiplicity 1)
Rh  0.0000  0.5000  0.5000 (multiplicity 2)

Output
* D(E_F): 2.93 states/eV/cell
* formation energy from the elements: 0.28 eV per atom
* volume: 16.57 Å³ per atom

***

No. 6
Entry from Alexandria: a PBEsol-optimized structure of RePRu2 (SCAN).

Cell: 3.7335 3.7335 7.5295 Å, 90.00 90.00 90.00°
Space group I4/mmm (No. 139)
Inequivalent atoms, fractional coordinates:
Re  0.0000  0.0000  0.0000 (multiplicity 2)
P  0.0000  0.0000  0.5000 (multiplicity 2)
Ru  0.0000  0.5000  0.2500 (multiplicity 4)

Output
* D(E_F): 6.49 states/eV/cell
* formation energy from the elements: 0.16 eV per atom
* volume: 13.12 Å³ per atom

***

Repeat the second record exactly.
Entry from Alexandria: a PBEsol-optimized structure of RePRh2 (SCAN).

Cell: 2.7516 2.7516 24.3280 Å, 90.00 90.00 120.00°
Space group R-3m (No. 166, hexagonal axes)
Inequivalent atoms, fractional coordinates:
Re  0.0000  0.0000  0.0000 (multiplicity 3)
P  0.0000  0.0000  0.5000 (multiplicity 3)
Rh  0.0000  0.0000  0.2415 (multiplicity 6)

Output
* D(E_F): 8.45 states/eV/cell
* formation energy from the elements: -0.19 eV per atom
* volume: 13.29 Å³ per atom